# Er2Ir3Os (GGA-PBE, optimized geometry)
data_Er2Ir3Os
_chemical_formula_sum 'Er4 Ir6 Os2'
_space_group_name_H-M_alt 'P 63/m m c'
_space_group_IT_number 194
_space_group_name_Hall '-P 6c 2c'
_cell_length_a 5.3430
_cell_length_b 5.3430
_cell_length_c 8.6556
_cell_angle_alpha 90.00
_cell_angle_beta 90.00
_cell_angle_gamma 120.00
loop_
_atom_site_label
_atom_site_fract_x
_atom_site_fract_y
_atom_site_fract_z
Er1 0.3333 0.6667 0.0657
Ir1 0.1691 0.3383 0.7500
Os1 0.0000 0.0000 0.0000
# Formation energy from the elements: -724 meV per atom
# Electronic total energy: -8.5436 eV/atom
# Spin magnetization: 0.00 μB/f.u.
# Crystal system: hexagonal